! Li2MgFe (PBE, optimized geometry); values from VASP
! - Density: 2.4 g/cm3
! - E_tot: -3.22 eV per atom
! - DFT formation energy: 0.2485 eV/atom
! - Space group: C2/m, No. 12
&SYSTEM
  ibrav = 0, nat = 4, ntyp = 3
/
ATOMIC_SPECIES
Li 6.94 Li.upf
Mg 24.30 Mg.upf
Fe 55.84 Fe.upf
CELL_PARAMETERS angstrom
5.006 -0.028 -0.016
4.273 2.609 -0.016
0.741 0.206 4.872
ATOMIC_POSITIONS angstrom
Li 9.229 2.567 0.063
Li 5.059 1.407 2.323
Mg 7.515 2.090 3.629
Fe 2.505 0.697 1.210



! LiMgFe2 (PBE, optimized geometry); values from VASP
! - Density: 4.2 g/cm3
! - E_tot: -4.76 eV per atom
! - DFT formation energy: 0.3516 eV/atom
! - Space group: P4/mmm, No. 123
&SYSTEM
  ibrav = 0, nat = 4, ntyp = 3
/
ATOMIC_SPECIES
Mg 24.30 Mg.upf
Fe 55.84 Fe.upf
Li 6.94 Li.upf
CELL_PARAMETERS angstrom
-0.259 2.207 -1.406
-1.845 -1.155 -1.475
-5.708 2.588 5.115
ATOMIC_POSITIONS angstrom
Mg -5.333 2.467 2.396
Fe -0.049 0.022 0.043
Fe -2.805 1.272 2.514
Li -2.479 1.173 -0.161



! Li2MgFe (PBE, optimized geometry); values from VASP
! - Density: 2.3 g/cm3
! - E_tot: -2.97 eV per atom
! - DFT formation energy: 0.4965 eV/atom
! - Space group: I-42d, No. 122
&SYSTEM
  ibrav = 0, nat = 8, ntyp = 3
/
ATOMIC_SPECIES
Li 6.94 Li.upf
Mg 24.30 Mg.upf
Fe 55.84 Fe.upf
CELL_PARAMETERS angstrom
7.157 0.000 0.000
0.000 7.157 0.000
3.579 3.579 2.673
ATOMIC_POSITIONS angstrom
Li 5.368 5.227 2.005
Li 1.648 5.368 0.668
Li 8.946 9.087 2.005
Li 5.509 1.789 0.668
Mg 3.579 3.579 0.000
Mg 3.579 7.157 1.337
Fe 7.157 3.579 1.337
Fe 0.000 0.000 0.000



! Li4MgFe (PBE, optimized geometry); values from VASP
! - Density: 1.8 g/cm3
! - E_tot: -2.65 eV per atom
! - DFT formation energy: 0.3057 eV/atom
! - Space group: F-43m, No. 216
&SYSTEM
  ibrav = 0, nat = 6, ntyp = 3
/
ATOMIC_SPECIES
Li 6.94 Li.upf
Mg 24.30 Mg.upf
Fe 55.84 Fe.upf
CELL_PARAMETERS angstrom
0.000 3.663 3.663
3.663 0.000 3.663
3.663 3.663 0.000
ATOMIC_POSITIONS angstrom
Li 2.739 2.739 2.739
Li 4.588 4.588 2.739
Li 4.588 2.739 4.588
Li 2.739 4.588 4.588
Mg 5.495 5.495 5.495
Fe 0.000 0.000 0.000



! Li2MgFe (PBE, optimized geometry); values from VASP
! - Density: 2.4 g/cm3
! - E_tot: -3.23 eV per atom
! - DFT formation energy: 0.2425 eV/atom
! - Space group: Pmm2, No. 25
&SYSTEM
  ibrav = 0, nat = 4, ntyp = 3
/
ATOMIC_SPECIES
Li 6.94 Li.upf
Fe 55.84 Fe.upf
Mg 24.30 Mg.upf
CELL_PARAMETERS angstrom
-0.306 -2.562 0.964
3.916 -0.713 -0.653
1.247 1.890 5.417
ATOMIC_POSITIONS angstrom
Li 2.102 -1.187 1.446
Li 1.232 1.868 5.353
Fe 2.742 -0.218 4.224
Mg 0.652 0.988 2.831



! LiMgFe2 (PBE, optimized geometry); values from VASP
! - Density: 4.4 g/cm3
! - E_tot: -4.84 eV per atom
! - DFT formation energy: 0.2732 eV/atom
! - Space group: I-4m2, No. 119
&SYSTEM
  ibrav = 0, nat = 4, ntyp = 3
/
ATOMIC_SPECIES
Fe 55.84 Fe.upf
Li 6.94 Li.upf
Mg 24.30 Mg.upf
CELL_PARAMETERS angstrom
4.243 -0.010 0.000
0.028 4.243 0.000
-2.136 -2.117 2.994
ATOMIC_POSITIONS angstrom
Fe 0.000 0.000 0.000
Fe 0.014 2.122 1.497
Li 2.136 2.117 0.000
Mg 2.122 -0.005 1.497



! Li2MgFe2 (PBE, optimized geometry); values from VASP
! - Density: 2.9 g/cm3
! - E_tot: -4.08 eV per atom
! - DFT formation energy: 0.3930 eV/atom
! - Space group: I4/mmm, No. 139
&SYSTEM
  ibrav = 0, nat = 5, ntyp = 3
/
ATOMIC_SPECIES
Li 6.94 Li.upf
Mg 24.30 Mg.upf
Fe 55.84 Fe.upf
CELL_PARAMETERS angstrom
-1.280 -2.348 -1.944
2.749 -1.800 0.363
-2.384 -5.571 5.487
ATOMIC_POSITIONS angstrom
Li 0.024 -2.870 0.639
Li -0.939 -6.848 3.267
Mg 0.000 0.000 0.000
Fe 0.550 -4.722 2.530
Fe -1.465 -4.996 1.376



! LiMgFe2 (PBE, optimized geometry); values from VASP
! - Density: 4.2 g/cm3
! - E_tot: -4.84 eV per atom
! - DFT formation energy: 0.2733 eV/atom
! - Space group: Cm, No. 8
&SYSTEM
  ibrav = 0, nat = 4, ntyp = 3
/
ATOMIC_SPECIES
Mg 24.30 Mg.upf
Fe 55.84 Fe.upf
Li 6.94 Li.upf
CELL_PARAMETERS angstrom
4.491 0.007 -0.027
3.706 2.537 -0.027
0.634 0.197 4.926
ATOMIC_POSITIONS angstrom
Mg 2.246 0.697 1.235
Fe 0.662 0.206 4.729
Fe 6.590 2.046 3.782
Li 4.382 1.360 2.490



! Li2MgFe2 (PBE, optimized geometry); values from VASP
! - Density: 3.4 g/cm3
! - E_tot: -4.07 eV per atom
! - DFT formation energy: 0.3957 eV/atom
! - Space group: P4/mbm, No. 127
&SYSTEM
  ibrav = 0, nat = 10, ntyp = 3
/
ATOMIC_SPECIES
Li 6.94 Li.upf
Mg 24.30 Mg.upf
Fe 55.84 Fe.upf
CELL_PARAMETERS angstrom
7.345 0.000 0.000
0.000 7.345 0.000
0.000 0.000 2.690
ATOMIC_POSITIONS angstrom
Li 2.355 6.027 0.000
Li 6.027 4.990 0.000
Li 1.317 2.355 0.000
Li 4.990 1.317 0.000
Mg 3.672 3.672 0.000
Mg 0.000 0.000 0.000
Fe 2.855 0.818 1.345
Fe 4.490 6.527 1.345
Fe 0.818 4.490 1.345
Fe 6.527 2.855 1.345



! Li2MgFe (PBE, optimized geometry); values from VASP
! - Density: 2.4 g/cm3
! - E_tot: -3.21 eV per atom
! - DFT formation energy: 0.2565 eV/atom
! - Space group: P2/m, No. 10
&SYSTEM
  ibrav = 0, nat = 4, ntyp = 3
/
ATOMIC_SPECIES
Li 6.94 Li.upf
Mg 24.30 Mg.upf
Fe 55.84 Fe.upf
CELL_PARAMETERS angstrom
-0.617 1.936 -4.255
0.741 -2.306 -1.156
-4.721 -1.979 -0.215
ATOMIC_POSITIONS angstrom
Li -3.895 -4.217 -1.353
Li -2.074 -2.210 -0.704
Mg -1.304 -0.103 -2.471
Fe -3.293 -2.246 -3.157



! Li2MgFe (PBE, optimized geometry); values from VASP
! - Density: 2.4 g/cm3
! - E_tot: -3.16 eV per atom
! - DFT formation energy: 0.3101 eV/atom
! - Space group: P4/mmm, No. 123
&SYSTEM
  ibrav = 0, nat = 4, ntyp = 3
/
ATOMIC_SPECIES
Fe 55.84 Fe.upf
Mg 24.30 Mg.upf
Li 6.94 Li.upf
CELL_PARAMETERS angstrom
4.368 0.000 0.000
0.000 3.870 0.000
0.000 0.000 3.870
ATOMIC_POSITIONS angstrom
Fe 2.184 0.000 1.935
Mg 2.184 1.935 0.000
Li 0.000 1.935 1.935
Li 0.000 0.000 0.000



! Li2MgFe (PBE, optimized geometry); values from VASP
! - Density: 2.4 g/cm3
! - E_tot: -3.22 eV per atom
! - DFT formation energy: 0.2503 eV/atom
! - Space group: Cmmm, No. 65
&SYSTEM
  ibrav = 0, nat = 4, ntyp = 3
/
ATOMIC_SPECIES
Fe 55.84 Fe.upf
Li 6.94 Li.upf
Mg 24.30 Mg.upf
CELL_PARAMETERS angstrom
2.717 0.017 0.000
-1.058 2.503 0.000
0.000 0.000 9.616
ATOMIC_POSITIONS angstrom
Fe 0.829 1.260 7.212
Li 0.000 0.000 5.020
Li 0.000 0.000 9.404
Mg 0.829 1.260 2.404



! LiMgFe (PBE, optimized geometry); values from VASP
! - Density: 3.0 g/cm3
! - E_tot: -3.72 eV per atom
! - DFT formation energy: 0.2749 eV/atom
! - Space group: P3m1, No. 156
&SYSTEM
  ibrav = 0, nat = 3, ntyp = 3
/
ATOMIC_SPECIES
Li 6.94 Li.upf
Mg 24.30 Mg.upf
Fe 55.84 Fe.upf
CELL_PARAMETERS angstrom
-2.111 1.079 1.472
-0.230 -2.553 -1.103
2.708 -2.808 5.939
ATOMIC_POSITIONS angstrom
Li -0.639 -1.008 2.466
Mg 1.000 -3.268 3.827
Fe 0.007 -0.007 0.015



! LiMgFe2 (PBE, optimized geometry); values from VASP
! - Density: 4.3 g/cm3
! - E_tot: -4.71 eV per atom
! - DFT formation energy: 0.3967 eV/atom
! - Space group: P4/mmm, No. 123
&SYSTEM
  ibrav = 0, nat = 4, ntyp = 3
/
ATOMIC_SPECIES
Fe 55.84 Fe.upf
Mg 24.30 Mg.upf
Li 6.94 Li.upf
CELL_PARAMETERS angstrom
2.958 0.000 0.000
0.000 2.958 0.000
0.000 0.000 6.306
ATOMIC_POSITIONS angstrom
Fe 0.000 0.000 0.262
Fe 0.000 0.000 2.891
Mg 1.479 1.479 4.730
Li 1.479 1.479 1.577



! LiMgFe2 (PBE, optimized geometry); values from VASP
! - Density: 4.4 g/cm3
! - E_tot: -4.81 eV per atom
! - DFT formation energy: 0.2966 eV/atom
! - Space group: C2/m, No. 12
&SYSTEM
  ibrav = 0, nat = 4, ntyp = 3
/
ATOMIC_SPECIES
Li 6.94 Li.upf
Fe 55.84 Fe.upf
Mg 24.30 Mg.upf
CELL_PARAMETERS angstrom
5.156 -0.004 0.027
-2.729 4.374 0.027
0.457 0.824 2.416
ATOMIC_POSITIONS angstrom
Li 2.806 0.410 1.221
Fe 1.213 2.185 0.027
Fe 0.000 0.000 0.000
Mg -1.136 2.599 1.221



! LiMg4Fe (PBE, optimized geometry); values from VASP
! - Density: 2.1 g/cm3
! - E_tot: -2.38 eV per atom
! - DFT formation energy: 0.4133 eV/atom
! - Space group: F-43m, No. 216
&SYSTEM
  ibrav = 0, nat = 6, ntyp = 3
/
ATOMIC_SPECIES
Mg 24.30 Mg.upf
Li 6.94 Li.upf
Fe 55.84 Fe.upf
CELL_PARAMETERS angstrom
-0.438 1.729 5.377
-4.959 -0.401 2.709
-0.661 -3.798 4.151
ATOMIC_POSITIONS angstrom
Mg -2.275 -0.927 4.596
Mg -4.743 -1.127 5.945
Mg -2.493 -0.067 7.272
Mg -2.604 -2.817 6.662
Li 0.000 0.000 0.000
Fe -4.543 -1.852 9.178



! LiMgFe2 (PBE, optimized geometry); values from VASP
! - Density: 4.4 g/cm3
! - E_tot: -4.86 eV per atom
! - DFT formation energy: 0.2527 eV/atom
! - Space group: Pmmm, No. 47
&SYSTEM
  ibrav = 0, nat = 4, ntyp = 3
/
ATOMIC_SPECIES
Li 6.94 Li.upf
Mg 24.30 Mg.upf
Fe 55.84 Fe.upf
CELL_PARAMETERS angstrom
2.982 0.000 0.000
0.000 4.068 0.000
0.000 0.000 4.439
ATOMIC_POSITIONS angstrom
Li 1.491 0.000 2.219
Mg 0.000 2.034 2.219
Fe 1.491 2.034 0.000
Fe 0.000 0.000 0.000



! LiMgFe2 (PBE, optimized geometry); values from VASP
! - Density: 4.1 g/cm3
! - E_tot: -4.83 eV per atom
! - DFT formation energy: 0.2742 eV/atom
! - Space group: Imm2, No. 44
&SYSTEM
  ibrav = 0, nat = 4, ntyp = 3
/
ATOMIC_SPECIES
Li 6.94 Li.upf
Fe 55.84 Fe.upf
Mg 24.30 Mg.upf
CELL_PARAMETERS angstrom
-1.714 -0.390 4.831
-2.276 -4.426 1.285
4.275 2.357 -1.610
ATOMIC_POSITIONS angstrom
Li -2.050 -2.474 3.142
Fe -3.888 -4.692 5.958
Fe 0.209 -0.310 3.253
Mg 0.028 -2.207 1.326



! Li3MgFe (PBE, optimized geometry); values from VASP
! - Density: 1.6 g/cm3
! - E_tot: -2.49 eV per atom
! - DFT formation energy: 0.6669 eV/atom
! - Space group: Pm-3m, No. 221
&SYSTEM
  ibrav = 0, nat = 5, ntyp = 3
/
ATOMIC_SPECIES
Li 6.94 Li.upf
Fe 55.84 Fe.upf
Mg 24.30 Mg.upf
CELL_PARAMETERS angstrom
4.741 0.000 0.000
0.000 4.741 0.000
0.000 0.000 4.741
ATOMIC_POSITIONS angstrom
Li 0.000 2.371 0.000
Li 2.371 0.000 0.000
Li 0.000 0.000 2.371
Fe 0.000 0.000 0.000
Mg 2.371 2.371 2.371



! LiMgFe (PBE, optimized geometry); values from VASP
! - Density: 3.1 g/cm3
! - E_tot: -3.74 eV per atom
! - DFT formation energy: 0.2528 eV/atom
! - Space group: Fmm2, No. 42
&SYSTEM
  ibrav = 0, nat = 3, ntyp = 3
/
ATOMIC_SPECIES
Fe 55.84 Fe.upf
Li 6.94 Li.upf
Mg 24.30 Mg.upf
CELL_PARAMETERS angstrom
-3.323 2.547 -4.817
-1.151 1.376 -6.127
-1.625 -2.123 -0.810
ATOMIC_POSITIONS angstrom
Fe -1.630 -2.112 -0.828
Li -3.485 1.823 -7.424
Mg -2.609 -0.034 -4.311



! LiMgFe4 (PBE, optimized geometry); values from VASP
! - Density: 5.4 g/cm3
! - E_tot: -6.05 eV per atom
! - DFT formation energy: 0.1735 eV/atom
! - Space group: F-43m, No. 216
&SYSTEM
  ibrav = 0, nat = 6, ntyp = 3
/
ATOMIC_SPECIES
Fe 55.84 Fe.upf
Mg 24.30 Mg.upf
Li 6.94 Li.upf
CELL_PARAMETERS angstrom
-1.823 -3.629 -2.571
-3.450 0.845 -3.239
0.973 -0.347 -4.694
ATOMIC_POSITIONS angstrom
Fe -1.128 -1.348 -6.284
Fe -2.523 -2.985 -5.225
Fe -1.614 -1.175 -3.942
Fe -3.334 -0.754 -5.558
Mg 0.000 0.000 0.000
Li -3.225 -2.348 -7.878



! Li2MgFe (PBE, optimized geometry); values from VASP
! - Density: 2.4 g/cm3
! - E_tot: -3.21 eV per atom
! - DFT formation energy: 0.2658 eV/atom
! - Space group: C2/m, No. 12
&SYSTEM
  ibrav = 0, nat = 4, ntyp = 3
/
ATOMIC_SPECIES
Li 6.94 Li.upf
Mg 24.30 Mg.upf
Fe 55.84 Fe.upf
CELL_PARAMETERS angstrom
5.588 0.002 -0.004
-2.790 4.842 -0.004
0.568 0.983 2.396
ATOMIC_POSITIONS angstrom
Li 1.399 2.422 -0.004
Li 0.000 0.000 0.000
Mg 3.078 0.492 1.196
Fe -1.111 2.912 1.196



! Li2MgFe (PBE, optimized geometry); values from VASP
! - Density: 2.4 g/cm3
! - E_tot: -3.16 eV per atom
! - DFT formation energy: 0.3110 eV/atom
! - Space group: Cmmm, No. 65
&SYSTEM
  ibrav = 0, nat = 4, ntyp = 3
/
ATOMIC_SPECIES
Li 6.94 Li.upf
Fe 55.84 Fe.upf
Mg 24.30 Mg.upf
CELL_PARAMETERS angstrom
-0.688 2.384 -4.683
-4.345 -1.603 2.578
-0.143 2.329 1.207
ATOMIC_POSITIONS angstrom
Li 0.000 0.000 0.000
Li -2.516 0.391 -1.053
Fe -2.244 0.363 1.892
Mg -0.415 2.357 -1.738



! LiMgFe2 (PBE, optimized geometry); values from VASP
! - Density: 4.1 g/cm3
! - E_tot: -4.60 eV per atom
! - DFT formation energy: 0.5115 eV/atom
! - Space group: I-42d, No. 122
&SYSTEM
  ibrav = 0, nat = 8, ntyp = 3
/
ATOMIC_SPECIES
Fe 55.84 Fe.upf
Mg 24.30 Mg.upf
Li 6.94 Li.upf
CELL_PARAMETERS angstrom
3.519 0.000 0.000
0.000 3.519 0.000
1.759 1.759 9.439
ATOMIC_POSITIONS angstrom
Fe 2.636 2.639 2.360
Fe 4.398 2.642 7.079
Fe 2.639 4.396 7.079
Fe 0.883 0.880 2.360
Mg 0.000 0.000 0.000
Mg 3.519 1.759 4.719
Li 1.759 1.759 0.000
Li 1.759 3.519 4.719



! Li2MgFe (PBE, optimized geometry); values from VASP
! - Density: 2.4 g/cm3
! - E_tot: -3.16 eV per atom
! - DFT formation energy: 0.3131 eV/atom
! - Space group: Imm2, No. 44
&SYSTEM
  ibrav = 0, nat = 4, ntyp = 3
/
ATOMIC_SPECIES
Mg 24.30 Mg.upf
Fe 55.84 Fe.upf
Li 6.94 Li.upf
CELL_PARAMETERS angstrom
5.449 0.019 0.022
2.597 4.790 -0.022
-3.378 -3.483 2.479
ATOMIC_POSITIONS angstrom
Mg 3.989 2.384 0.000
Fe 1.574 1.828 1.228
Li 0.021 0.013 0.000
Li 3.106 -0.494 1.250



! LiMg2MnFe (PBE, optimized geometry); values from VASP
! - Density: 2.7 g/cm3
! - E_tot: -3.91 eV per atom
! - DFT formation energy: 0.6405 eV/atom
! - Space group: P4/mmm, No. 123
&SYSTEM
  ibrav = 0, nat = 5, ntyp = 4
/
ATOMIC_SPECIES
Li 6.94 Li.upf
Fe 55.84 Fe.upf
Mg 24.30 Mg.upf
Mn 54.94 Mn.upf
CELL_PARAMETERS angstrom
4.991 0.000 0.000
0.000 4.991 0.000
0.000 0.000 4.037
ATOMIC_POSITIONS angstrom
Li 2.496 2.496 2.019
Fe 0.000 0.000 2.019
Mg 0.000 2.496 0.000
Mg 2.496 0.000 0.000
Mn 0.000 0.000 0.000



! LiMgMn2Fe (PBE, optimized geometry); values from VASP
! - Density: 3.5 g/cm3
! - E_tot: -4.63 eV per atom
! - DFT formation energy: 1.4289 eV/atom
! - Space group: P4/mmm, No. 123
&SYSTEM
  ibrav = 0, nat = 5, ntyp = 4
/
ATOMIC_SPECIES
Fe 55.84 Fe.upf
Mn 54.94 Mn.upf
Mg 24.30 Mg.upf
Li 6.94 Li.upf
CELL_PARAMETERS angstrom
4.698 0.000 0.000
0.000 4.287 0.000
0.000 0.000 4.698
ATOMIC_POSITIONS angstrom
Fe 2.349 2.143 2.349
Mn 0.000 0.000 2.349
Mn 2.349 0.000 0.000
Mg 0.000 0.000 0.000
Li 0.000 2.143 0.000